A plane-wave DFT calculation with meta-GGA SCAN was carried out for a crystal of BiAsBr2 relaxed with PBEsol.

Lattice parameters (Å, degrees): 3.4455 3.4455 30.3736 90.00 90.00 120.00
Space group R-3m (No. 166, hexagonal axes)
One atom of each set of equivalent atoms:
1 Bi 0.0000 0.0000 0.0000 [3 per cell]
2 As 0.0000 0.0000 0.5000 [3 per cell]
3 Br 0.0000 0.0000 0.4153 [6 per cell]

A plane-wave DFT calculation with meta-GGA SCAN was carried out for a crystal of BiAs2BrCl relaxed with PBEsol.

Lattice parameters (Å, degrees): 4.970 4.970 5.031 90.00 90.00 90.00
Space group P4/mmm (No. 123)
One atom of each set of equivalent atoms:
1 Bi 0.000 0.000 0.000 [1 per cell]
2 As 0.000 0.500 0.500 [2 per cell]
3 Br 0.500 0.500 0.000 [1 per cell]
4 Cl 0.500 0.500 0.500 [1 per cell]

no.,formation energy (no corrections) (eV/atom)
1,0.090
2,0.839